Material: LiNpVO6
Method: DFT, GGA+U
State: relaxed

The structure in POSCAR format:
```
LiNpVO6
1.0
5.3037 0.0000 0.0000
-2.6519 4.5931 0.0000
0.0000 0.0000 9.3565
Li Np V O
2 2 2 12
direct
0.0000 0.0000 0.0000
0.0000 0.0000 0.5000
0.3333 0.6667 0.2500
0.6667 0.3333 0.7500
0.3333 0.6667 0.7500
0.6667 0.3333 0.2500
0.0226 0.3754 0.6391
0.0226 0.6472 0.8609
0.3528 0.3754 0.8609
0.3528 0.9774 0.6391
0.3754 0.0226 0.1391
0.3754 0.3528 0.3609
0.6246 0.6472 0.6391
0.6246 0.9774 0.8609
0.6472 0.0226 0.3609
0.6472 0.6246 0.1391
0.9774 0.3528 0.1391
0.9774 0.6246 0.3609
```

Output
Magnetic moment: 2.04 μB per cell
N(E_F): 0.1951 states/eV per atom
Electronic total energy: -0.5885 Ry per atom